The following is a DFT calculation (PBE-GGA) of a relaxed Ag3W5C crystal.

Total magnetic moment (μB/f.u.): 0.00
Total DFT energy (no corrections) (eV/atom): -8.52

Lattice parameters (Å, degrees): 5.099 5.485 5.100 90.00 90.23 90.00
Fractional positions:
Ag 0.000 0.000 0.000
Ag 0.000 0.208 0.500
Ag 0.500 0.791 0.000
W 0.000 0.500 0.000
W 0.242 0.696 0.500
W 0.500 0.304 0.242
W 0.500 0.304 0.758
W 0.758 0.696 0.500
C 0.500 0.001 0.500